Below is a geometry-optimized CdHgCl2 structure, with properties calculated at the PBE-GGA level.

Cell: 7.264 7.264 7.264 Å, 90.00 90.00 90.00°
Space group Fm-3m (No. 225)
Symmetry-distinct sites (fractional):
Cd 0.000 0.000 0.000 (multiplicity 4)
Hg 0.000 0.000 0.500 (multiplicity 4)
Cl 0.250 0.250 0.250 (multiplicity 8)

Summary:
Density = 6.65 g/cm³
E_tot = -0.109 Ry per atom
Energy above the lowest structure with this stoichiometry = 2.16 eV per formula unit
Crystal system = cubic